# Cr2Rh8W, relaxed, DFT PBE-GGA
# ΔH_f (0 K) ... -0.04 eV/atom
data_Cr2Rh8W
_chemical_formula_sum 'Cr4 Rh16 W2'
_cell_length_a 4.007
_cell_length_b 6.474
_cell_length_c 12.106
_cell_angle_alpha 90.00
_cell_angle_beta 90.00
_cell_angle_gamma 90.00
_space_group_name_H-M_alt 'I m m m'
_space_group_IT_number 71
_space_group_name_Hall '-I 2 2'
loop_
_atom_site_label
_atom_site_fract_x
_atom_site_fract_y
_atom_site_fract_z
Cr1 0.000 0.000 0.201
Rh1 0.000 0.204 0.000
Rh2 0.000 0.290 0.347
Rh3 0.000 0.500 0.155
W1 0.000 0.000 0.500

# Sc4Te2AsS, relaxed, DFT PBE-GGA
# Uncorrected formation energy ... -1410 meV per atom
data_Sc4Te2AsS
_chemical_formula_sum 'Sc4 Te2 As1 S1'
_cell_length_a 6.796
_cell_length_b 3.933
_cell_length_c 7.033
_cell_angle_alpha 90.00
_cell_angle_beta 108.89
_cell_angle_gamma 90.00
_space_group_name_H-M_alt 'P 1 2/m 1'
_space_group_IT_number 10
loop_
_space_group_symop_operation_xyz
'x,y,z'
'-x,-y,-z'
'-x,y,-z'
'x,-y,z'
loop_
_atom_site_label
_atom_site_fract_x
_atom_site_fract_y
_atom_site_fract_z
Sc1 0.228 0.000 0.204
Sc2 0.258 0.500 0.791
Te1 0.000 0.000 0.500
Te2 0.500 0.500 0.500
As1 0.500 0.000 0.000
S1 0.000 0.500 0.000

# RbNbReC2, relaxed, DFT PBE-GGA
# ΔH_f (0 K) ... 4.40 eV/atom
data_RbNbReC2
_chemical_formula_sum 'Rb1 Nb1 Re1 C2'
_cell_length_a 4.183
_cell_length_b 4.183
_cell_length_c 5.140
_cell_angle_alpha 90.00
_cell_angle_beta 90.00
_cell_angle_gamma 90.00
_space_group_name_H-M_alt 'P 4/m m m'
_space_group_IT_number 123
_space_group_name_Hall '-P 4 2'
loop_
_atom_site_label
_atom_site_fract_x
_atom_site_fract_y
_atom_site_fract_z
Rb1 0.000 0.000 0.000
Nb1 0.000 0.000 0.500
Re1 0.500 0.500 0.500
C1 0.000 0.500 0.000

Computed DOS at the Fermi energy (states/eV/cell) in order:
20.72 3.24 6.23
Computed ρ (kg/m³) in order:
11750 5060 7174
Computed electronic total energy (eV for the cell shown) in order:
-182.88 -51.67 -19.95